! Pr2Sm3Y6Th | the Alexandria database | PBE | relaxed; values from VASP
&SYSTEM
  ibrav = 0, nat = 12, ntyp = 4
/
ATOMIC_SPECIES
Pr 140.91 Pr.upf
Sm 150.36 Sm.upf
Y 88.91 Y.upf
Th 232.04 Th.upf
CELL_PARAMETERS angstrom
3.1382 -5.4321 0.0000
3.1382 5.4321 0.0000
-2.0912 0.0000 11.6790
ATOMIC_POSITIONS angstrom
Pr 3.1382 3.6219 0.0000
Pr 3.1382 -3.6219 0.0000
Sm -1.0456 0.0000 5.8395
Sm 2.0925 1.8155 5.8395
Sm 2.0925 -1.8155 5.8395
Y 0.0111 1.7896 8.7653
Y 1.0734 0.0000 2.9136
Y 0.0111 -1.7896 8.7653
Y 4.1740 1.7896 2.9137
Y 3.1117 0.0000 8.7654
Y 4.1740 -1.7896 2.9137
Th 3.1382 0.0000 0.0000
! Fermi-level density of states = 15.4 states/eV/f.u.
! space group = C2/m, No. 12
! ρ = 6.25 g/cm3
! M_tot = 0.00 μB per cell
! ΔE_f = 0.3 eV/f.u.